Computed, not measured: a geometry-optimized In4FeNi structure at the GGA-PBE level of DFT.

abc: 5.7790 5.7790 5.7790
angles: 60.00 60.00 60.00
With the nearest neighbours (Å) after each atom.
Element x y z (fractional)
In 0.8747 0.3751 0.3751  6 In 2.89
In 0.3751 0.3751 0.3751  6 In 2.89
In 0.3751 0.3751 0.8747  6 In 2.89
In 0.3751 0.8747 0.3751  6 In 2.89
Ni 0.7500 0.7500 0.7500  12 In 3.39, 4 Fe 3.54
Fe 0.0000 0.0000 0.0000  12 In 3.39, 4 Ni 3.54

Electronic total energy in eV per atom: -3.36
Energy of formation in kJ per mole of atoms: 80.8


Computed, not measured: a geometry-optimized InFe3Ni structure at the GGA-PBE level of DFT.

abc: 4.7135 4.7135 4.7135
angles: 90.00 90.00 90.00
With the nearest neighbours (Å) after each atom.
Element x y z (fractional)
In 0.0000 0.0000 0.0000  6 Fe 2.36
Fe 0.5000 0.0000 0.0000  2 In 2.36
Fe 0.0000 0.0000 0.5000  2 In 2.36
Fe 0.0000 0.5000 0.0000  2 In 2.36
Ni 0.5000 0.5000 0.5000  12 Fe 3.33

Electronic total energy in eV per atom: -4.91
Energy of formation in kJ per mole of atoms: 180.2